# 1
# PBE PmDyPu2, optimized geometry
data_PmDyPu2
_chemical_formula_sum 'Pm1 Dy1 Pu2'
_symmetry_space_group_name_H-M 'P 4/m m m'
_symmetry_Int_Tables_number 123
_symmetry_space_group_name_Hall '-P 4 2'
_cell_length_a 4.8577
_cell_length_b 4.8577
_cell_length_c 5.0494
_cell_angle_alpha 90.00
_cell_angle_beta 90.00
_cell_angle_gamma 90.00
loop_
_atom_site_label
_atom_site_fract_x
_atom_site_fract_y
_atom_site_fract_z
Pm1 0.0000 0.0000 0.0000
Dy1 0.5000 0.5000 0.0000
Pu1 0.0000 0.5000 0.5000
# - energy relative to the lowest polymorph listed for this composition (meV/atom) = 3
# - DFT total energy (eV per atom) = -9.303
# - formation energy (eV/atom) = 0.20



# 2
# PBE TbCe3Nd2S6, optimized geometry
data_TbCe3Nd2S6
_chemical_formula_sum 'Tb2 Ce6 Nd4 S12'
_symmetry_space_group_name_H-M 'C 1 2/m 1'
_symmetry_Int_Tables_number 12
_cell_length_a 6.9678
_cell_length_b 12.0752
_cell_length_c 6.9824
_cell_angle_alpha 90.00
_cell_angle_beta 109.47
_cell_angle_gamma 90.00
loop_
_symmetry_equiv_pos_as_xyz
'x,y,z'
'-x,-y,-z'
'-x,y,-z'
'x,-y,z'
'x+1/2,y+1/2,z'
'-x+1/2,-y+1/2,-z'
'-x+1/2,y+1/2,-z'
'x+1/2,-y+1/2,z'
loop_
_atom_site_label
_atom_site_fract_x
_atom_site_fract_y
_atom_site_fract_z
Tb1 0.0000 0.0000 0.0000
Ce1 0.0000 0.1692 0.5000
Ce2 0.0000 0.5000 0.5000
Nd1 0.0000 0.3336 0.0000
S1 0.2425 0.0000 0.7496
S2 0.2455 0.1631 0.2476
# - E_form (uncorrected) (meV/atom) = -2036
# - DFT total energy (eV per atom) = -6.764



# 3
# PBE Rb2YHg, optimized geometry
data_Rb2YHg
_chemical_formula_sum 'Rb8 Y4 Hg4'
_symmetry_space_group_name_H-M 'I -4 2 d'
_symmetry_Int_Tables_number 122
_symmetry_space_group_name_Hall 'I -4 2bw'
_cell_length_a 12.5160
_cell_length_b 12.5160
_cell_length_c 5.8890
_cell_angle_alpha 90.00
_cell_angle_beta 90.00
_cell_angle_gamma 90.00
loop_
_atom_site_label
_atom_site_fract_x
_atom_site_fract_y
_atom_site_fract_z
Rb1 0.1276 0.2500 0.1250
Y1 0.0000 0.0000 0.5000
Hg1 0.0000 0.0000 0.0000
# - DFT total energy (eV per atom) = -1.823
# - formation energy (eV/atom) = 0.35



# 4
# PBE LiZr4Ta3N8, optimized geometry
data_LiZr4Ta3N8
_chemical_formula_sum 'Li3 Zr12 Ta9 N24'
_symmetry_space_group_name_H-M 'R -3 m'
_symmetry_Int_Tables_number 166
_symmetry_space_group_name_Hall '-R 3 2"'
_cell_length_a 6.3499
_cell_length_b 6.3499
_cell_length_c 15.5496
_cell_angle_alpha 90.00
_cell_angle_beta 90.00
_cell_angle_gamma 120.00
loop_
_atom_site_label
_atom_site_fract_x
_atom_site_fract_y
_atom_site_fract_z
Li1 0.0000 0.0000 0.0000
Zr1 0.0000 0.0000 0.5000
Zr2 0.0000 0.5000 0.5000
Ta1 0.0000 0.5000 0.0000
N1 0.0000 0.0000 0.2553
N2 0.0027 0.5014 0.2553
# - E_form (uncorrected) (meV/atom) = -1346
# - DFT total energy (eV per atom) = -9.988



| no. | magnetization (μB/f.u.) |
| --- | --- |
| 1 | 12.57 |
| 2 | 2.55 |
| 3 | 0.00 |
| 4 | 0.00 |